1.
# YAl3Ni

Crystalline YAl3Ni at its relaxed geometry (PBE-GGA, Alexandria via LeMat-Bulk).

Calculated density ... 4.3 g/cm³
ΔE to the lowest computed polymorph ... 0 meV per atom
Electronic total energy ... -5.30 eV per atom
Calculated formation energy ... -0.60 eV per atom

Unit cell a=8.160 b=4.032 c=10.705 alpha=90.00 beta=90.00 gamma=90.00
Space group Pnma (No. 62)
Asymmetric unit:
Y 0.184 0.250 0.008 x4
Al 0.056 0.250 0.583 x4
Al 0.115 0.750 0.786 x4
Al 0.143 0.750 0.222 x4
Ni 0.105 0.250 0.357 x4

=====

2.
# NdY2Ho

Crystalline NdY2Ho at its relaxed geometry (PBE-GGA, Alexandria via LeMat-Bulk).

Calculated density ... 6.1 g/cm³
ΔE to the lowest computed polymorph ... 7 meV per atom
Electronic total energy ... -5.56 eV per atom
Calculated formation energy ... 0.01 eV per atom

Unit cell a=3.666 b=11.443 c=6.314 alpha=90.00 beta=90.00 gamma=90.00
Space group Imm2 (No. 44)
Asymmetric unit:
Nd 0.000 0.000 0.000 x2
Y 0.000 0.248 0.663 x4
Ho 0.000 0.500 0.996 x2

=====

3.
# Tm8Os2Pt

Crystalline Tm8Os2Pt at its relaxed geometry (PBE-GGA, Alexandria via LeMat-Bulk).

Calculated density ... 11.9 g/cm³
ΔE to the lowest computed polymorph ... 0 meV per atom
Electronic total energy ... -6.29 eV per atom
Calculated formation energy ... -0.44 eV per atom

Unit cell a=17.364 b=4.717 c=6.875 alpha=90.00 beta=107.77 gamma=90.00
Space group C2/m (No. 12)
Asymmetric unit:
Tm 0.032 0.000 0.286 x4
Tm 0.098 0.500 0.962 x4
Tm 0.170 0.500 0.461 x4
Tm 0.207 0.000 0.814 x4
Os 0.184 0.000 0.201 x4
Pt 0.000 0.500 0.500 x2

=====

4.
# AcCdHgRh

Crystalline AcCdHgRh at its relaxed geometry (PBE-GGA, Alexandria via LeMat-Bulk).

Calculated density ... 10.8 g/cm³
ΔE to the lowest computed polymorph ... 61 meV per atom
Electronic total energy ... -3.42 eV per atom
Calculated formation energy ... -0.26 eV per atom

Unit cell a=7.335 b=7.335 c=7.335 alpha=90.00 beta=90.00 gamma=90.00
Space group F-43m (No. 216)
Asymmetric unit:
Ac 0.000 0.000 0.000 x4
Cd 0.000 0.000 0.500 x4
Hg 0.250 0.250 0.250 x4
Rh 0.250 0.250 0.750 x4